Compound: ZrI2N2
Source: Alexandria via LeMat-Bulk
Functional: GGA-PBE
Structure: optimized geometry

Structure (CIF):
```
data_ZrI2N2
_chemical_formula_sum 'Zr1 I2 N2'
_cell_length_a 4.3038
_cell_length_b 4.3038
_cell_length_c 6.5781
_cell_angle_alpha 90.00
_cell_angle_beta 90.00
_cell_angle_gamma 90.00
_space_group_name_H-M_alt 'P 4/m m m'
_space_group_IT_number 123
_space_group_name_Hall '-P 4 2'
loop_
_atom_site_label
_atom_site_type_symbol
_atom_site_fract_x
_atom_site_fract_y
_atom_site_fract_z
Zr1 Zr 0.0000 0.0000 0.0000
I1 I 0.0000 0.0000 0.5000
I2 I 0.5000 0.5000 0.5000
N1 N 0.0000 0.5000 0.0000
```

Summary:
Total DFT energy (no corrections), eV per atom: -5.057
Distance to the lowest polymorph of the same formula, meV/atom: 0.0